! I | the Alexandria database | PBE | optimized geometry; values from VASP
&SYSTEM
  ibrav = 0, nat = 1, ntyp = 1
/
ATOMIC_SPECIES
I 126.90 I.upf
ATOMIC_POSITIONS angstrom
I 0.000 0.000 0.000
CELL_PARAMETERS angstrom
2.927 0.000 0.000
-0.003 4.064 0.000
-0.085 -1.635 4.489
! SG: P-1 (2)
! Excess energy over the best structure of this formula in the dataset: 0.097 eV/atom
! Total DFT energy (no corrections): -1.453 eV/atom
! Uncorrected formation energy: 0.097 eV/atom
! Crystal system: triclinic
! Spin magnetization: 0.000 μB per atom

=====

! PrNdTl4 | the Alexandria database | PBE | optimized geometry; values from VASP
&SYSTEM
  ibrav = 0, nat = 6, ntyp = 3
/
ATOMIC_SPECIES
Pr 140.91 Pr.upf
Nd 144.24 Nd.upf
Tl 204.38 Tl.upf
ATOMIC_POSITIONS angstrom
Pr 0.000 0.000 0.000
Nd 0.021 0.022 3.944
Tl 2.542 1.486 1.484
Tl 2.563 1.509 5.395
Tl 5.084 2.971 2.493
Tl 5.105 2.993 6.404
CELL_PARAMETERS angstrom
5.088 0.000 0.000
2.518 4.435 0.000
0.042 0.045 7.888
! SG: P-1 (2)
! Formation enthalpy at 0 K: -1.802 eV per formula unit
! Excess energy over the best structure of this formula in the dataset: 0.000 eV/atom
! Total DFT energy (no corrections): -3.469 eV/atom
! Crystal system: triclinic
! Spin magnetization: 0.000 μB per atom

=====

! Nd4CdAg | the Alexandria database | PBE | optimized geometry; values from VASP
&SYSTEM
  ibrav = 0, nat = 6, ntyp = 3
/
ATOMIC_SPECIES
Nd 144.24 Nd.upf
Cd 112.41 Cd.upf
Ag 107.87 Ag.upf
ATOMIC_POSITIONS angstrom
Nd 0.000 0.000 1.865
Nd 0.000 0.000 10.965
Nd 1.883 1.883 4.401
Nd 1.883 1.883 8.429
Cd 0.000 0.000 6.415
Ag 1.883 1.883 0.000
CELL_PARAMETERS angstrom
3.767 0.000 0.000
0.000 3.767 0.000
0.000 0.000 12.830
! SG: P4/mmm (123)
! Formation enthalpy at 0 K: -1.030 eV per formula unit
! Excess energy over the best structure of this formula in the dataset: 0.000 eV/atom
! Total DFT energy (no corrections): -3.978 eV/atom
! Crystal system: tetragonal
! Spin magnetization: 0.202 μB per atom